Entry from Alexandria via LeMat-Bulk: crystalline ErTm3Ru2 at its relaxed geometry (PBE).

Cell: 4.254 7.424 8.748 Å, 90.00 90.00 90.00°
Element x y z (fractional)
Ru: 0.000 0.244 0.632
Ru: 0.500 0.256 0.131
Ru: 0.000 0.744 0.368
Ru: 0.500 0.756 0.869
Tm: 0.000 0.979 0.084
Tm: 0.000 0.852 0.683
Tm: 0.000 0.479 0.916
Tm: 0.500 0.648 0.182
Tm: 0.500 0.148 0.818
Tm: 0.000 0.352 0.317
Er: 0.500 0.021 0.416
Er: 0.500 0.521 0.584

Output
The calculation puts the total energy at -6.4933 eV per atom.